1.
# KCdRuF6 (GGA-PBE, relaxed)
# **Theoretical density**: 3.799 Mg/m³
# **VASP energy**: -4.5473 eV/atom
# **Uncorrected formation energy**: -2.05 eV per atom
data_KCdRuF6
_space_group_name_H-M_alt 'P 1'
_space_group_IT_number 1
_cell_length_a 7.588
_cell_length_b 7.717
_cell_length_c 7.696
_cell_angle_alpha 120.09
_cell_angle_beta 119.54
_cell_angle_gamma 90.00
loop_
_space_group_symop_operation_xyz
'x,y,z'
loop_
_atom_site_label
_atom_site_type_symbol
_atom_site_fract_x
_atom_site_fract_y
_atom_site_fract_z
K1 K 0.894 0.644 0.788
K2 K 0.106 0.356 0.212
Cd1 Cd 0.500 0.000 0.500
Cd2 Cd 0.000 0.000 0.500
Ru1 Ru 0.500 0.500 0.000
Ru2 Ru 0.500 0.000 0.000
F1 F 0.445 0.695 0.890
F2 F 0.854 0.104 0.708
F3 F 0.818 0.104 0.249
F4 F 0.431 0.646 0.249
F5 F 0.431 0.104 0.249
F6 F 0.818 0.646 0.249
F7 F 0.555 0.305 0.110
F8 F 0.146 0.896 0.292
F9 F 0.182 0.896 0.751
F10 F 0.569 0.354 0.751
F11 F 0.569 0.896 0.751
F12 F 0.182 0.354 0.751

2.
# Rb2TcRhSe (GGA-PBE, relaxed)
# **Theoretical density**: 3.596 Mg/m³
# **VASP energy**: -3.5850 eV/atom
# **Uncorrected formation energy**: 1.04 eV per atom
data_Rb2TcRhSe
_space_group_name_H-M_alt 'P 1'
_space_group_IT_number 1
_cell_length_a 6.704
_cell_length_b 4.632
_cell_length_c 6.704
_cell_angle_alpha 90.00
_cell_angle_beta 90.00
_cell_angle_gamma 90.00
loop_
_space_group_symop_operation_xyz
'x,y,z'
loop_
_atom_site_label
_atom_site_type_symbol
_atom_site_fract_x
_atom_site_fract_y
_atom_site_fract_z
Se1 Se 0.000 0.500 0.000
Rh1 Rh 0.500 0.500 0.500
Tc1 Tc 0.000 0.000 0.000
Rb1 Rb 0.000 0.000 0.500
Rb2 Rb 0.500 0.000 0.000

3.
# Tb2Pm2Nd4Dy (GGA-PBE, relaxed)
# **Theoretical density**: 7.338 Mg/m³
# **DFT formation energy**: 17.0 meV/atom
# **VASP energy**: -4.6981 eV/atom
data_Tb2Pm2Nd4Dy
_space_group_name_H-M_alt 'P 1'
_space_group_IT_number 1
_cell_length_a 5.144
_cell_length_b 8.132
_cell_length_c 8.105
_cell_angle_alpha 107.58
_cell_angle_beta 90.00
_cell_angle_gamma 108.44
loop_
_space_group_symop_operation_xyz
'x,y,z'
loop_
_atom_site_label
_atom_site_type_symbol
_atom_site_fract_x
_atom_site_fract_y
_atom_site_fract_z
Tb1 Tb 0.333 0.667 0.000
Tb2 Tb 0.667 0.333 0.000
Pm1 Pm 0.889 0.777 0.331
Pm2 Pm 0.111 0.223 0.669
Nd1 Nd 0.778 0.556 0.669
Nd2 Nd 0.222 0.444 0.331
Nd3 Nd 0.555 0.110 0.331
Nd4 Nd 0.445 0.890 0.669
Dy1 Dy 0.000 0.000 0.000

4.
# ReAg3 (GGA-PBE, relaxed)
# **Theoretical density**: 12.444 Mg/m³
# **DFT formation energy**: 631.6 meV/atom
# **VASP energy**: -4.6189 eV/atom
# **Relative energy among the computed polymorphs**: 243.6 meV per atom
data_ReAg3
_space_group_name_H-M_alt 'P 1'
_space_group_IT_number 1
_cell_length_a 2.699
_cell_length_b 4.309
_cell_length_c 5.850
_cell_angle_alpha 90.00
_cell_angle_beta 90.00
_cell_angle_gamma 90.00
loop_
_space_group_symop_operation_xyz
'x,y,z'
loop_
_atom_site_label
_atom_site_type_symbol
_atom_site_fract_x
_atom_site_fract_y
_atom_site_fract_z
Re1 Re 0.500 0.500 0.250
Ag1 Ag 0.000 0.000 0.010
Ag2 Ag 0.000 0.000 0.490
Ag3 Ag 0.500 0.500 0.750

5.
# Cs2CaTe2 (GGA-PBE, relaxed)
# **Theoretical density**: 3.723 Mg/m³
# **VASP energy**: -2.4496 eV/atom
# **Uncorrected formation energy**: -0.45 eV per atom
# **Relative energy among the computed polymorphs**: 818.3 meV per atom
data_Cs2CaTe2
_space_group_name_H-M_alt 'P 1'
_space_group_IT_number 1
_cell_length_a 6.737
_cell_length_b 6.737
_cell_length_c 7.287
_cell_angle_alpha 62.47
_cell_angle_beta 62.47
_cell_angle_gamma 90.00
loop_
_space_group_symop_operation_xyz
'x,y,z'
loop_
_atom_site_label
_atom_site_type_symbol
_atom_site_fract_x
_atom_site_fract_y
_atom_site_fract_z
Cs1 Cs 0.347 0.347 0.305
Cs2 Cs 0.653 0.653 0.695
Ca1 Ca 0.000 0.000 0.000
Te1 Te 0.750 0.250 0.500
Te2 Te 0.250 0.750 0.500

6.
# Pa2TaCuN5 (GGA-PBE, relaxed)
# **Theoretical density**: 11.878 Mg/m³
# **VASP energy**: -9.5973 eV/atom
# **Uncorrected formation energy**: -1.09 eV per atom
data_Pa2TaCuN5
_space_group_name_H-M_alt 'P 1'
_space_group_IT_number 1
_cell_length_a 3.264
_cell_length_b 6.794
_cell_length_c 10.087
_cell_angle_alpha 90.00
_cell_angle_beta 90.00
_cell_angle_gamma 103.90
loop_
_space_group_symop_operation_xyz
'x,y,z'
loop_
_atom_site_label
_atom_site_type_symbol
_atom_site_fract_x
_atom_site_fract_y
_atom_site_fract_z
Pa1 Pa 0.867 0.734 0.801
Pa2 Pa 0.114 0.227 0.681
Pa3 Pa 0.133 0.266 0.301
Pa4 Pa 0.886 0.773 0.181
Ta1 Ta 0.808 0.617 0.502
Ta2 Ta 0.192 0.383 0.002
Cu1 Cu 0.511 0.023 0.973
Cu2 Cu 0.489 0.977 0.473
N1 N 0.352 0.704 0.005
N2 N 0.695 0.391 0.858
N3 N 0.493 0.987 0.777
N4 N 0.290 0.579 0.653
N5 N 0.952 0.903 0.573
N6 N 0.648 0.296 0.505
N7 N 0.305 0.609 0.358
N8 N 0.507 0.013 0.277
N9 N 0.710 0.421 0.153
N10 N 0.048 0.097 0.073

7.
# KNbO3 (GGA-PBE, relaxed)
# **Theoretical density**: 4.224 Mg/m³
# **VASP energy**: -7.5129 eV/atom
# **Uncorrected formation energy**: -2.30 eV per atom
data_KNbO3
_space_group_name_H-M_alt 'P 1'
_space_group_IT_number 1
_cell_length_a 3.493
_cell_length_b 5.442
_cell_length_c 7.445
_cell_angle_alpha 90.00
_cell_angle_beta 90.17
_cell_angle_gamma 90.00
loop_
_space_group_symop_operation_xyz
'x,y,z'
loop_
_atom_site_label
_atom_site_type_symbol
_atom_site_fract_x
_atom_site_fract_y
_atom_site_fract_z
Nb1 Nb 0.749 0.250 0.907
Nb2 Nb 0.251 0.750 0.093
K1 K 0.246 0.250 0.386
K2 K 0.754 0.750 0.614
O1 O 0.751 0.988 0.113
O2 O 0.249 0.012 0.887
O3 O 0.751 0.512 0.113
O4 O 0.249 0.488 0.887
O5 O 0.748 0.250 0.659
O6 O 0.252 0.750 0.341

8.
# LiTh2Pb (GGA-PBE, relaxed)
# **Theoretical density**: 9.015 Mg/m³
# **DFT formation energy**: 170.4 meV/atom
# **VASP energy**: -4.9451 eV/atom
# **Relative energy among the computed polymorphs**: 285.0 meV per atom
data_LiTh2Pb
_space_group_name_H-M_alt 'P 1'
_space_group_IT_number 1
_cell_length_a 3.393
_cell_length_b 3.393
_cell_length_c 12.686
_cell_angle_alpha 82.32
_cell_angle_beta 82.32
_cell_angle_gamma 60.00
loop_
_space_group_symop_operation_xyz
'x,y,z'
loop_
_atom_site_label
_atom_site_type_symbol
_atom_site_fract_x
_atom_site_fract_y
_atom_site_fract_z
Pb1 Pb 0.500 0.500 0.500
Th1 Th 0.089 0.089 0.732
Th2 Th 0.911 0.911 0.268
Li1 Li 0.000 0.000 0.000

9.
# RbCuMo (GGA-PBE, relaxed)
# **Theoretical density**: 5.425 Mg/m³
# **DFT formation energy**: 892.4 meV/atom
# **VASP energy**: -4.4059 eV/atom
# **Relative energy among the computed polymorphs**: 354.0 meV per atom
data_RbCuMo
_space_group_name_H-M_alt 'P 1'
_space_group_IT_number 1
_cell_length_a 13.095
_cell_length_b 4.774
_cell_length_c 4.798
_cell_angle_alpha 90.00
_cell_angle_beta 90.00
_cell_angle_gamma 90.00
loop_
_space_group_symop_operation_xyz
'x,y,z'
loop_
_atom_site_label
_atom_site_type_symbol
_atom_site_fract_x
_atom_site_fract_y
_atom_site_fract_z
Mo1 Mo 0.474 0.250 0.000
Mo2 Mo 0.026 0.750 0.500
Mo3 Mo 0.526 0.750 0.000
Mo4 Mo 0.974 0.250 0.500
Cu1 Cu 0.000 0.000 0.000
Cu2 Cu 0.500 0.500 0.500
Cu3 Cu 0.500 0.000 0.500
Cu4 Cu 0.000 0.500 0.000
Rb1 Rb 0.742 0.250 0.000
Rb2 Rb 0.758 0.750 0.500
Rb3 Rb 0.258 0.750 0.000
Rb4 Rb 0.242 0.250 0.500

10.
# In3PbW (GGA-PBE, relaxed)
# **Theoretical density**: 8.101 Mg/m³
# **DFT formation energy**: 668.0 meV/atom
# **VASP energy**: -4.3073 eV/atom
# **Relative energy among the computed polymorphs**: 0.0 meV per atom
data_In3PbW
_space_group_name_H-M_alt 'P 1'
_space_group_IT_number 1
_cell_length_a 5.322
_cell_length_b 5.322
_cell_length_c 5.322
_cell_angle_alpha 90.00
_cell_angle_beta 90.00
_cell_angle_gamma 90.00
loop_
_space_group_symop_operation_xyz
'x,y,z'
loop_
_atom_site_label
_atom_site_type_symbol
_atom_site_fract_x
_atom_site_fract_y
_atom_site_fract_z
Pb1 Pb 0.500 0.500 0.500
W1 W 0.000 0.000 0.000
In1 In 0.000 0.500 0.000
In2 In 0.000 0.000 0.500
In3 In 0.500 0.000 0.000

11.
# Y2ZnFeN (GGA-PBE, relaxed)
# **Theoretical density**: 5.925 Mg/m³
# **VASP energy**: -6.8958 eV/atom
# **Uncorrected formation energy**: -0.70 eV per atom
# **Relative energy among the computed polymorphs**: 0.0 meV per atom
data_Y2ZnFeN
_space_group_name_H-M_alt 'P 1'
_space_group_IT_number 1
_cell_length_a 4.934
_cell_length_b 4.934
_cell_length_c 3.605
_cell_angle_alpha 90.00
_cell_angle_beta 90.00
_cell_angle_gamma 90.00
loop_
_space_group_symop_operation_xyz
'x,y,z'
loop_
_atom_site_label
_atom_site_type_symbol
_atom_site_fract_x
_atom_site_fract_y
_atom_site_fract_z
Y1 Y 0.000 0.500 0.000
Y2 Y 0.500 0.000 0.000
Zn1 Zn 0.500 0.500 0.500
Fe1 Fe 0.000 0.000 0.500
N1 N 0.000 0.000 0.000

12.
# Ba3La2DyTe6 (GGA-PBE, relaxed)
# **Theoretical density**: 5.981 Mg/m³
# **VASP energy**: -4.8650 eV/atom
# **Uncorrected formation energy**: -1.61 eV per atom
data_Ba3La2DyTe6
_space_group_name_H-M_alt 'P 1'
_space_group_IT_number 1
_cell_length_a 8.108
_cell_length_b 8.108
_cell_length_c 8.337
_cell_angle_alpha 99.35
_cell_angle_beta 99.35
_cell_angle_gamma 119.94
loop_
_space_group_symop_operation_xyz
'x,y,z'
loop_
_atom_site_label
_atom_site_type_symbol
_atom_site_fract_x
_atom_site_fract_y
_atom_site_fract_z
Ba1 Ba 0.170 0.830 0.500
Ba2 Ba 0.830 0.170 0.500
Ba3 Ba 0.500 0.500 0.500
La1 La 0.334 0.666 0.000
La2 La 0.666 0.334 0.000
Dy1 Dy 0.000 0.000 0.000
Te1 Te 0.926 0.603 0.778
Te2 Te 0.753 0.753 0.226
Te3 Te 0.074 0.397 0.222
Te4 Te 0.603 0.926 0.778
Te5 Te 0.247 0.247 0.774
Te6 Te 0.397 0.074 0.222

Question: theoretical density of number 9 (RbCuMo)?
Answer: 5.425 Mg/m³

Question: theoretical density of number 2 (Rb2TcRhSe)?
Answer: 3.596 Mg/m³